Below is a relaxed Nd2P2IrOsN2 crystal, with properties calculated at the PBE-GGA level.

## Properties
**Symmetry**: No. 115

Cell lengths 4.042, 4.042, 8.596 Å; angles 90.00, 90.00, 90.00 degrees
Sites, in units of the cell vectors:
1 P 0.000 0.500 0.143
2 P 0.500 0.000 0.857
3 Nd 0.500 0.000 0.363
4 Nd 0.000 0.500 0.637
5 Os 0.500 0.500 0.000
6 N 0.000 0.000 0.500
7 N 0.500 0.500 0.500
8 Ir 0.000 0.000 0.000



Below is a relaxed TmPuBe crystal, with properties calculated at the PBE-GGA level.

## Properties
**Energy relative to the lowest polymorph listed for this composition**: 0.000 eV per atom
**Symmetry**: No. 216

Cell lengths 4.674, 4.674, 4.674 Å; angles 60.00, 60.00, 60.00 degrees
Sites, in units of the cell vectors:
1 Pu 0.250 0.250 0.250
2 Tm 0.750 0.750 0.750
3 Be 0.000 0.000 0.000



These records have final energy values of -7.8613 -7.0534 eV/atom, in the order they appear.
These records have calculated volume values of 17.56 24.07 Å³ per atom, in the order they appear.
These records have total magnetization values of 1.1 6.1 Bohr magnetons per cell, in the order they appear.